No. 1
CsRbTl2F8 GGA-PBE optimized geometry; DOS(E_F) = 0.000 states/eV per atom; crystal system = tetragonal; calculated total energy = -3.936 eV per atom
1.0
-1.1041 -6.0267 1.7235
5.8800 -1.6021 -1.8355
-0.3198 5.0274 5.6224
F Tl Cs Rb
8 2 1 1
direct
0.6079 0.2059 0.8162
0.2084 0.6103 0.8162
0.3377 0.8669 0.3092
0.7941 0.7916 0.1838
0.5577 0.6623 0.6908
0.9715 0.4423 0.3092
0.3897 0.3921 0.1838
0.1331 0.0285 0.6908
0.5000 0.5000 0.0000
0.2500 0.7500 0.5000
0.7500 0.2500 0.5000
0.0000 0.0000 0.0000

***

No. 2
CsRbTlF3 GGA-PBE optimized geometry; DOS(E_F) = 0.000 states/eV per atom; crystal system = monoclinic; calculated total energy = -3.943 eV per atom
1.0
-3.8933 -0.8199 -0.6189
-0.2552 -4.5250 7.6002
-2.0831 10.8418 -1.2584
F Rb Cs Tl
6 2 2 2
direct
0.2500 0.4536 0.8177
0.7500 0.9387 0.1141
0.7500 0.3473 0.5140
0.2500 0.0613 0.8859
0.2500 0.6527 0.4860
0.7500 0.5464 0.1823
0.2500 0.7361 0.1205
0.7500 0.2639 0.8795
0.2500 0.2504 0.2147
0.7500 0.7496 0.7853
0.2500 0.2167 0.5498
0.7500 0.7833 0.4502

***

No. 3
Cs2RbTmF6 GGA-PBE optimized geometry; DOS(E_F) = 0.000 states/eV per atom; crystal system = monoclinic; calculated total energy = -5.208 eV per atom
1.0
-4.1364 -1.6861 5.2001
-0.2547 -6.4787 -2.3033
7.7451 -2.2150 5.3739
Cs Tm F Rb
4 2 12 2
direct
0.4934 0.4723 0.2502
0.0066 0.9723 0.2498
0.9934 0.0277 0.7502
0.5066 0.5277 0.7498
0.0000 0.5000 0.0000
0.5000 0.0000 0.5000
0.7530 0.3118 0.9661
0.0702 0.4773 0.7837
0.6833 0.2488 0.5417
0.2470 0.6882 0.0339
0.4298 0.9773 0.7163
0.7470 0.8118 0.5339
0.9298 0.5227 0.2163
0.3167 0.7512 0.4583
0.5702 0.0227 0.2837
0.1833 0.2512 0.0417
0.2530 0.1882 0.4661
0.8167 0.7488 0.9583
0.5000 0.0000 0.0000
0.0000 0.5000 0.5000

***

No. 4
CsRb2TmF6 GGA-PBE optimized geometry; DOS(E_F) = 0.000 states/eV per atom; crystal system = monoclinic; calculated total energy = -5.201 eV per atom
1.0
6.6799 0.0000 0.0470
0.0000 7.0602 0.0000
0.1224 0.0000 9.5824
F Rb Tm Cs
12 4 2 2
direct
0.6116 0.0813 0.2956
0.1116 0.4187 0.7956
0.2710 0.6565 0.0339
0.8523 0.7458 0.9134
0.7710 0.8435 0.5339
0.3884 0.9187 0.7044
0.7290 0.3435 0.9661
0.2290 0.1565 0.4661
0.6477 0.2458 0.5866
0.8884 0.5813 0.2044
0.1477 0.2542 0.0866
0.3523 0.7542 0.4134
0.4891 0.4573 0.2353
0.9891 0.0427 0.7353
0.0109 0.9573 0.2647
0.5109 0.5427 0.7647
0.5000 0.0000 0.5000
0.0000 0.5000 0.0000
0.5000 0.0000 0.0000
0.0000 0.5000 0.5000

***

No. 5
Cs2RbUF8 GGA-PBE optimized geometry; DOS(E_F) = 0.698 states/eV per atom; crystal system = tetragonal; calculated total energy = -5.639 eV per atom
1.0
-2.1904 4.6893 -3.9526
-6.0658 -2.2756 0.6617
3.2671 2.5087 6.5307
F U Cs Rb
8 1 2 1
direct
0.1591 0.0526 0.7072
0.3454 0.4520 0.2928
0.3454 0.8409 0.2928
0.1591 0.6546 0.7072
0.9474 0.8409 0.2928
0.5480 0.0526 0.7072
0.5480 0.6546 0.7072
0.9474 0.4520 0.2928
0.2500 0.7500 0.5000
0.0000 0.0000 0.0000
0.7500 0.2500 0.5000
0.5000 0.5000 0.0000

***

Formation energy from raw total energies across the listed records, respectively: -2142.5; -2309.3; -3371.1; -3352.5; -3227.9 meV/atom.